(1)
# PBE BeNiW, relaxed
data_BeNiW
_space_group_name_H-M_alt 'I m m a'
_space_group_IT_number 74
_space_group_name_Hall '-I 2b 2'
_cell_length_a 4.5879
_cell_length_b 4.6368
_cell_length_c 6.4025
_cell_angle_alpha 90.00
_cell_angle_beta 90.00
_cell_angle_gamma 90.00
loop_
_atom_site_label
_atom_site_fract_x
_atom_site_fract_y
_atom_site_fract_z
Be1 0.2500 0.2500 0.2500
Ni1 0.0000 0.0000 0.0000
W1 0.0000 0.2500 0.6201
# Energy relative to the lowest polymorph listed for this composition   0.000 eV per atom
# E_form   -0.2421 eV per atom

(2)
# PBE TbPmDy2Er5, relaxed
data_TbPmDy2Er5
_space_group_name_H-M_alt 'I 4/m c m'
_space_group_IT_number 140
_space_group_name_Hall '-I 4 2c'
_cell_length_a 8.8461
_cell_length_b 8.8461
_cell_length_c 14.6883
_cell_angle_alpha 90.00
_cell_angle_beta 90.00
_cell_angle_gamma 90.00
loop_
_atom_site_label
_atom_site_fract_x
_atom_site_fract_y
_atom_site_fract_z
Tb1 0.0000 0.5000 0.2500
Pm1 0.0000 0.0000 0.2500
Dy1 0.1133 0.3867 0.0000
Er1 0.0000 0.0000 0.0000
Er2 0.2054 0.2946 0.3673
# E_form   0.2894 eV per atom

What did the first record say?
# PBE BeNiW, relaxed
data_BeNiW
_space_group_name_H-M_alt 'I m m a'
_space_group_IT_number 74
_space_group_name_Hall '-I 2b 2'
_cell_length_a 4.5879
_cell_length_b 4.6368
_cell_length_c 6.4025
_cell_angle_alpha 90.00
_cell_angle_beta 90.00
_cell_angle_gamma 90.00
loop_
_atom_site_label
_atom_site_fract_x
_atom_site_fract_y
_atom_site_fract_z
Be1 0.2500 0.2500 0.2500
Ni1 0.0000 0.0000 0.0000
W1 0.0000 0.2500 0.6201
# Energy relative to the lowest polymorph listed for this composition   0.000 eV per atom
# E_form   -0.2421 eV per atom

Question: Look up the E_form of the second one.
Answer: 0.2894 eV per atom

What did the first record say?
# PBE BeNiW, relaxed
data_BeNiW
_space_group_name_H-M_alt 'I m m a'
_space_group_IT_number 74
_space_group_name_Hall '-I 2b 2'
_cell_length_a 4.5879
_cell_length_b 4.6368
_cell_length_c 6.4025
_cell_angle_alpha 90.00
_cell_angle_beta 90.00
_cell_angle_gamma 90.00
loop_
_atom_site_label
_atom_site_fract_x
_atom_site_fract_y
_atom_site_fract_z
Be1 0.2500 0.2500 0.2500
Ni1 0.0000 0.0000 0.0000
W1 0.0000 0.2500 0.6201
# Energy relative to the lowest polymorph listed for this composition   0.000 eV per atom
# E_form   -0.2421 eV per atom